No. 1
Below is crystalline CaAcSnBr at its relaxed geometry, with properties calculated at the PBE level.

Calculated values
Symmetry: No. 216
Density: 6.12 g/cm3
Final energy: -3.939 eV/atom

Geometry as POSCAR:
```
CaAcSnBr
1.0
5.632 0.000 0.000
2.816 4.877 0.000
2.816 1.626 4.599
Ac Ca Br Sn
1 1 1 1
Cartesian
0.000 0.000 0.000 Ac
5.632 3.252 2.299 Ca
2.816 1.626 1.150 Br
8.448 4.877 3.449 Sn
```

No. 2
Below is crystalline CaAcTlBr6 at its relaxed geometry, with properties calculated at the PBE level.

Calculated values
Symmetry: No. 163
Density: 4.24 g/cm3
Final energy: -3.830 eV/atom

Geometry as POSCAR:
```
CaAcTlBr6
1.0
-5.344 4.531 -3.351
5.009 -3.996 -4.390
-9.091 -10.994 -0.366
Tl Br Ca Ac
2 12 2 2
Cartesian
-4.545 -5.497 -0.183 Tl
0.000 0.000 0.000 Tl
-5.455 -2.074 -6.210 Br
-3.519 -3.784 -2.943 Br
-7.936 -9.386 -3.139 Br
-4.726 -12.039 -3.179 Br
-1.490 -1.072 -4.968 Br
-3.971 -8.384 -1.897 Br
-2.721 -9.289 -5.765 Br
-5.907 -6.675 -5.164 Br
-4.700 1.581 -4.928 Br
-6.705 -1.170 -2.342 Br
-6.299 -10.619 -6.764 Br
-3.127 0.160 -1.343 Br
-4.166 -1.060 -3.789 Ca
-5.260 -9.399 -4.318 Ca
-0.715 -3.902 -4.135 Ac
-8.711 -6.557 -3.972 Ac
```

No. 3
Below is crystalline AcCdBr at its relaxed geometry, with properties calculated at the PBE level.

Calculated values
Symmetry: No. 12
Density: 6.15 g/cm3
Final energy: -3.225 eV/atom

Geometry as POSCAR:
```
AcCdBr
1.0
-1.180 -3.747 -2.738
1.495 -4.393 1.183
-9.432 -1.908 6.120
Cd Br Ac
2 2 2
Cartesian
-4.489 -3.646 2.462 Cd
-4.628 -6.401 2.103 Cd
-7.902 -4.210 4.697 Br
-1.215 -5.838 -0.133 Br
-2.881 -0.653 1.857 Ac
-6.236 -9.394 2.707 Ac
```

No. 4
Below is crystalline AcCdBr2 at its relaxed geometry, with properties calculated at the PBE level.

Calculated values
Symmetry: No. 166
Density: 4.64 g/cm3
Final energy: -3.186 eV/atom

Geometry as POSCAR:
```
AcCdBr2
1.0
-0.321 0.758 4.048
-3.727 0.265 1.763
-1.135 -11.531 4.177
Ac Br Cd
1 2 1
Cartesian
-2.591 -5.254 4.994 Ac
-3.977 -2.884 6.548 Br
-1.206 -7.623 3.440 Br
0.000 0.000 0.000 Cd
```

No. 5
Below is crystalline AcCd2Br8 at its relaxed geometry, with properties calculated at the PBE level.

Calculated values
Symmetry: No. 97
Density: 4.68 g/cm3
Final energy: -2.809 eV/atom

Geometry as POSCAR:
```
AcCd2Br8
1.0
-3.970 -3.196 5.641
5.821 -4.670 1.451
1.592 8.410 0.763
Br Cd Ac
8 2 1
Cartesian
4.054 -3.746 3.958 Br
0.858 5.472 1.810 Br
3.002 1.393 4.796 Br
-0.378 3.304 4.785 Br
1.669 -1.033 2.533 Br
-1.027 -2.030 5.145 Br
4.239 3.561 1.821 Br
1.358 -4.743 6.570 Br
4.170 -0.096 2.880 Cd
-0.726 0.641 4.975 Cd
0.926 -3.933 3.546 Ac
```

No. 6
Below is crystalline AcCd2Br6 at its relaxed geometry, with properties calculated at the PBE level.

Calculated values
Symmetry: No. 12
Density: 3.99 g/cm3
Final energy: -2.953 eV/atom

Geometry as POSCAR:
```
AcCd2Br6
1.0
4.801 0.000 0.000
-2.401 7.906 1.159
0.000 -0.964 10.078
Br Cd Ac
6 2 1
Cartesian
2.401 1.404 5.533 Br
0.000 5.538 5.704 Br
2.401 6.548 9.116 Br
2.401 4.344 2.227 Br
0.000 0.394 2.121 Br
0.000 2.598 9.011 Br
2.401 3.872 9.376 Cd
0.000 3.070 1.861 Cd
0.000 -0.482 5.039 Ac
```

No. 7
Below is crystalline CsAcCdBr6 at its relaxed geometry, with properties calculated at the PBE level.

Calculated values
Symmetry: No. 163
Density: 3.89 g/cm3
Final energy: -3.359 eV/atom

Geometry as POSCAR:
```
CsAcCdBr6
1.0
7.660 0.000 0.000
-3.830 6.634 0.000
0.000 0.000 15.990
Br Ac Cs Cd
12 2 2 2
Cartesian
2.513 4.065 2.302 Br
-1.317 2.569 10.297 Br
2.264 4.209 10.297 Br
-2.264 4.209 13.688 Br
0.947 6.490 13.688 Br
-0.947 6.490 10.297 Br
1.317 2.569 13.688 Br
2.883 0.144 2.302 Br
6.093 2.425 2.302 Br
1.566 2.425 5.693 Br
4.777 0.144 5.693 Br
5.147 4.065 5.693 Br
0.000 4.422 3.997 Ac
3.830 2.211 11.992 Ac
0.000 0.000 0.000 Cs
0.000 0.000 7.995 Cs
3.830 2.211 3.997 Cd
0.000 4.422 11.992 Cd
```

No. 8
Below is crystalline Ac6CdIr2Br3 at its relaxed geometry, with properties calculated at the PBE level.

Calculated values
Symmetry: No. 12
Density: 8.03 g/cm3
Final energy: -5.050 eV/atom

Geometry as POSCAR:
```
Ac6CdIr2Br3
1.0
-2.485 -0.072 7.384
7.538 -1.166 -1.590
-0.315 8.534 -1.392
Ac Cd Br Ir
6 1 3 2
Cartesian
1.717 6.094 4.875 Ac
5.371 5.695 1.603 Ac
-0.633 1.602 2.799 Ac
3.485 0.843 3.790 Ac
1.253 6.454 0.613 Ac
3.021 1.203 -0.473 Ac
0.000 0.000 0.000 Cd
-0.975 4.014 5.196 Br
2.369 3.648 2.201 Br
5.713 3.283 -0.793 Br
4.196 -0.801 1.402 Ir
0.857 -0.437 4.392 Ir
```

No. 9
Below is crystalline AcLaCdBr at its relaxed geometry, with properties calculated at the PBE level.

Calculated values
Symmetry: No. 216
Density: 7.28 g/cm3
Final energy: -3.486 eV/atom

Geometry as POSCAR:
```
AcLaCdBr
1.0
5.648 0.000 0.000
2.824 4.891 0.000
2.824 1.630 4.611
Cd Br La Ac
1 1 1 1
Cartesian
5.648 3.261 2.306 Cd
0.000 0.000 0.000 Br
2.824 1.630 1.153 La
8.471 4.891 3.458 Ac
```

No. 10
Below is crystalline Ac2CdBr2N2 at its relaxed geometry, with properties calculated at the PBE level.

Calculated values
Symmetry: No. 12
Density: 6.85 g/cm3
Final energy: -5.438 eV/atom

Geometry as POSCAR:
```
Ac2CdBr2N2
1.0
4.137 0.000 0.000
2.068 6.149 -0.261
2.068 2.055 7.098
Br Cd Ac N
2 1 2 2
Cartesian
4.137 2.601 4.376 Br
4.137 5.603 2.462 Br
0.000 0.000 0.000 Cd
2.068 2.817 1.476 Ac
6.205 5.387 5.362 Ac
4.137 2.040 0.379 N
4.137 6.165 6.459 N
```

No. 11
Below is crystalline Ac6CdNi2Br3 at its relaxed geometry, with properties calculated at the PBE level.

Calculated values
Symmetry: No. 12
Density: 7.24 g/cm3
Final energy: -4.276 eV/atom

Geometry as POSCAR:
```
Ac6CdNi2Br3
1.0
4.360 0.000 0.000
0.000 9.768 0.023
-2.180 -3.147 9.859
Cd Ac Ni Br
1 6 2 3
Cartesian
2.180 0.000 0.000 Cd
2.180 0.232 3.251 Ac
2.180 4.207 9.458 Ac
0.000 2.414 0.423 Ac
2.180 4.286 3.577 Ac
0.000 2.335 6.304 Ac
0.000 6.388 6.631 Ac
2.180 4.357 6.523 Ni
0.000 2.264 3.358 Ni
2.180 4.884 0.011 Br
2.180 -0.502 6.670 Br
0.000 7.123 3.211 Br
```

No. 12
Below is crystalline AcCdBrO at its relaxed geometry, with properties calculated at the PBE level.

Calculated values
Symmetry: No. 129
Density: 6.08 g/cm3
Final energy: -5.041 eV/atom

Geometry as POSCAR:
```
AcCdBrO
1.0
-3.690 2.039 -0.039
-0.749 -1.281 3.946
6.016 10.974 4.706
O Ac Cd Br
2 2 2 2
Cartesian
-2.955 1.209 0.958 O
-1.485 -0.451 2.950 O
2.105 10.482 7.182 Ac
-0.529 1.250 1.432 Ac
1.523 5.036 5.303 Cd
0.053 6.696 3.311 Cd
3.577 8.740 4.643 Br
-2.001 2.993 3.970 Br
```

No. 13
Below is crystalline AcCdBrO2 at its relaxed geometry, with properties calculated at the PBE level.

Calculated values
Symmetry: No. 11
Density: 5.87 g/cm3
Final energy: -5.423 eV/atom

Geometry as POSCAR:
```
AcCdBrO2
1.0
-2.025 -2.973 2.573
2.278 -5.985 -5.123
4.718 2.342 6.419
Ac Cd Br O
2 2 2 4
Cartesian
5.517 -2.503 3.351 Ac
-0.547 -4.114 0.519 Ac
2.958 -3.359 0.348 Cd
2.012 -3.258 3.522 Cd
-0.411 -1.822 3.274 Br
5.381 -4.795 0.596 Br
3.841 -3.215 5.011 O
1.129 -3.402 -1.141 O
3.481 -2.122 2.188 O
1.490 -4.494 1.682 O
```

No. 14
Below is crystalline Ac6CdRh2Br3 at its relaxed geometry, with properties calculated at the PBE level.

Calculated values
Symmetry: No. 12
Density: 7.40 g/cm3
Final energy: -4.757 eV/atom

Geometry as POSCAR:
```
Ac6CdRh2Br3
1.0
-4.429 -1.633 -6.167
7.657 -1.270 -0.271
-2.248 -6.681 5.019
Br Rh Ac Cd
3 2 6 1
Cartesian
4.533 -4.670 1.263 Br
-3.553 -4.913 -2.682 Br
0.490 -4.792 -0.709 Br
3.629 -1.391 -2.236 Rh
-0.401 -1.512 -4.202 Rh
2.546 -2.002 0.479 Ac
2.824 -7.449 0.245 Ac
-1.844 -2.134 -1.663 Ac
-1.566 -7.581 -1.897 Ac
1.820 -3.389 -3.521 Ac
-0.840 -6.194 2.102 Ac
0.000 0.000 0.000 Cd
```

No. 15
Below is crystalline Ac6CdSi2Br3 at its relaxed geometry, with properties calculated at the PBE level.

Calculated values
Symmetry: No. 12
Density: 6.97 g/cm3
Final energy: -4.362 eV/atom

Geometry as POSCAR:
```
Ac6CdSi2Br3
1.0
-3.981 1.605 -1.661
-3.749 -8.475 0.798
-0.153 3.173 9.808
Br Ac Si Cd
3 6 2 1
Cartesian
-4.057 2.021 5.301 Br
-3.826 -5.719 3.644 Br
-3.865 -3.435 -0.432 Br
-4.767 -4.901 6.690 Ac
-3.116 1.204 2.255 Ac
-4.857 -2.611 2.743 Ac
-6.895 -1.648 8.558 Ac
-3.026 -1.087 6.201 Ac
-0.987 -2.050 0.387 Ac
-1.980 -1.504 3.293 Si
-5.903 -2.193 5.652 Si
-1.990 0.802 -0.830 Cd
```

No. 16
Below is crystalline AcTlCdBr6 at its relaxed geometry, with properties calculated at the PBE level.

Calculated values
Symmetry: No. 163
Density: 4.71 g/cm3
Final energy: -3.299 eV/atom

Geometry as POSCAR:
```
AcTlCdBr6
1.0
7.588 0.000 0.000
-3.794 6.572 0.000
0.000 0.000 14.481
Cd Br Tl Ac
2 12 2 2
Cartesian
0.000 4.381 10.861 Cd
3.794 2.191 3.620 Cd
5.042 4.110 5.287 Br
6.081 2.312 1.953 Br
-1.248 2.462 9.194 Br
1.248 2.462 12.528 Br
4.832 0.150 5.287 Br
-1.038 6.422 9.194 Br
-2.286 4.260 12.528 Br
1.038 6.422 12.528 Br
2.546 4.110 1.953 Br
1.508 2.312 5.287 Br
2.756 0.150 1.953 Br
2.286 4.260 9.194 Br
0.000 0.000 0.000 Tl
0.000 0.000 7.241 Tl
0.000 4.381 3.620 Ac
3.794 2.191 10.861 Ac
```

No. 17
Below is crystalline Ac2CeBr at its relaxed geometry, with properties calculated at the PBE level.

Calculated values
Symmetry: No. 166
Density: 7.45 g/cm3
Final energy: -4.204 eV/atom

Geometry as POSCAR:
```
Ac2CeBr
1.0
3.742 0.000 0.000
1.871 3.240 0.000
1.871 1.080 12.396
Ac Br Ce
2 1 1
Cartesian
1.871 1.080 8.795 Ac
5.612 3.240 3.601 Ac
3.742 2.160 6.198 Br
0.000 0.000 0.000 Ce
```

No. 18
Below is crystalline AcCeBr6 at its relaxed geometry, with properties calculated at the PBE level.

Calculated values
Symmetry: No. 2
Density: 4.32 g/cm3
Final energy: -4.386 eV/atom

Geometry as POSCAR:
```
AcCeBr6
1.0
-4.055 5.413 -2.989
-3.175 -0.970 -6.603
-8.030 -1.036 -0.131
Br Ce Ac
6 1 1
Cartesian
-10.116 0.683 -6.311 Br
-7.680 -0.736 -3.026 Br
-7.580 4.143 -6.697 Br
-5.867 0.169 -6.827 Br
-9.393 3.238 -2.896 Br
-5.144 2.724 -3.411 Br
0.000 0.000 0.000 Ce
-7.630 1.704 -4.861 Ac
```

No. 19
Below is crystalline AcCeCoBr at its relaxed geometry, with properties calculated at the PBE level.

Calculated values
Symmetry: No. 8
Density: 7.24 g/cm3
Final energy: -5.432 eV/atom

Geometry as POSCAR:
```
AcCeCoBr
1.0
4.251 0.001 0.000
-2.126 3.429 0.096
-2.125 -0.914 7.936
Co Br Ce Ac
1 1 1 1
Cartesian
-1.724 0.945 7.205 Co
2.526 1.004 2.778 Br
-1.724 3.357 0.498 Ce
0.401 -0.142 5.345 Ac
```

No. 20
Below is crystalline AcCeIrBr at its relaxed geometry, with properties calculated at the PBE level.

Calculated values
Symmetry: No. 160
Density: 8.48 g/cm3
Final energy: -6.236 eV/atom

Geometry as POSCAR:
```
AcCeIrBr
1.0
4.221 -0.001 0.000
-2.110 3.656 0.000
-2.110 -1.218 8.112
Ir Br Ce Ac
1 1 1 1
Cartesian
-1.711 0.951 7.209 Ir
2.509 0.951 2.807 Br
-1.711 3.389 0.488 Ce
0.399 -0.268 5.473 Ac
```

No. 21
Below is crystalline AcCeOsBr at its relaxed geometry, with properties calculated at the PBE level.

Calculated values
Symmetry: No. 160
Density: 8.73 g/cm3
Final energy: -6.476 eV/atom

Geometry as POSCAR:
```
AcCeOsBr
1.0
-0.306 2.098 3.572
-3.404 -0.774 -2.252
0.277 -8.110 2.372
Os Ac Ce Br
1 1 1 1
Cartesian
-1.753 -7.033 2.021 Os
-0.478 -4.485 3.050 Ac
-3.232 -0.988 -1.656 Ce
-1.477 -1.102 3.392 Br
```

No. 22
Below is crystalline AcCePbBr at its relaxed geometry, with properties calculated at the PBE level.

Calculated values
Symmetry: No. 216
Density: 8.60 g/cm3
Final energy: -4.609 eV/atom

Geometry as POSCAR:
```
AcCePbBr
1.0
-3.695 1.100 -4.107
-1.737 -4.136 -3.407
-5.281 -1.925 0.372
Ce Ac Br Pb
1 1 1 1
Cartesian
-8.034 -3.721 -5.357 Ce
-2.678 -1.240 -1.786 Ac
0.000 0.000 0.000 Br
-5.356 -2.481 -3.571 Pb
```

No. 23
Below is crystalline AcCePtBr at its relaxed geometry, with properties calculated at the PBE level.

Calculated values
Symmetry: No. 160
Density: 8.24 g/cm3
Final energy: -5.645 eV/atom

Geometry as POSCAR:
```
AcCePtBr
1.0
4.307 -0.001 0.000
-2.153 3.730 0.000
-2.153 -1.243 8.056
Br Ac Pt Ce
1 1 1 1
Cartesian
2.560 0.971 2.797 Br
0.407 -0.273 5.405 Ac
-1.746 0.970 7.134 Pt
-1.746 3.457 0.530 Ce
```

No. 24
Below is crystalline AcCeRhBr at its relaxed geometry, with properties calculated at the PBE level.

Calculated values
Symmetry: No. 160
Density: 7.41 g/cm3
Final energy: -5.808 eV/atom

Geometry as POSCAR:
```
AcCeRhBr
1.0
-2.029 -2.153 -2.945
1.339 -1.933 3.449
-6.193 3.733 4.496
Br Ce Ac Rh
1 1 1 1
Cartesian
-3.598 -1.487 0.049 Br
0.682 -1.813 3.256 Ce
-4.979 1.126 2.048 Ac
-5.393 1.558 4.976 Rh
```